Here is La6SCl8 after structural relaxation from Alexandria. Energies are from PBE.

Cell: 10.960 10.960 10.960 Å, 38.27 38.27 38.27°
Atoms (fractional coordinates):
La1 0.052 0.377 0.728
La2 0.272 0.948 0.623
La3 0.377 0.728 0.052
La4 0.623 0.272 0.948
La5 0.728 0.052 0.377
La6 0.948 0.623 0.272
S1 0.000 0.000 0.000
Cl1 0.108 0.773 0.443
Cl2 0.227 0.557 0.892
Cl3 0.333 0.333 0.333
Cl4 0.443 0.108 0.773
Cl5 0.557 0.892 0.227
Cl6 0.667 0.667 0.667
Cl7 0.773 0.443 0.108
Cl8 0.892 0.227 0.557

Results
Electronic total energy = -5.230 eV/atom
Formation energy from raw total energies = -1.999 eV per atom
Total magnetization = 0.00 μB/cell